1.
! Na4ErPa3N8 GGA-PBE optimized geometry; values from VASP
&SYSTEM
  ibrav = 0, nat = 16, ntyp = 4
/
ATOMIC_SPECIES
Na 22.99 Na.upf
Er 167.26 Er.upf
Pa 231.04 Pa.upf
N 14.01 N.upf
CELL_PARAMETERS angstrom
-6.162 -3.273 1.241
2.281 -5.628 -3.520
3.775 2.614 5.403
ATOMIC_POSITIONS crystal
Na 0.500 0.000 0.000
Na 0.500 0.000 0.500
Na 0.000 0.000 0.000
Na 0.000 0.000 0.500
Er 0.000 0.500 0.000
Pa 0.500 0.500 0.000
Pa 0.500 0.500 0.500
Pa 0.000 0.500 0.500
N 0.235 0.686 0.952
N 0.235 0.686 0.469
N 0.269 0.308 0.538
N 0.717 0.686 0.952
N 0.283 0.314 0.048
N 0.731 0.692 0.462
N 0.765 0.314 0.531
N 0.765 0.314 0.048
! energy relative to the elements, uncorrected = -1.04 eV/atom
! SG = R-3m (166)
! density of states at the Fermi level = 12.6 states/eV/cell

=====

2.
! NaErPa4N8 GGA-PBE optimized geometry; values from VASP
&SYSTEM
  ibrav = 0, nat = 14, ntyp = 4
/
ATOMIC_SPECIES
Na 22.99 Na.upf
Er 167.26 Er.upf
Pa 231.04 Pa.upf
N 14.01 N.upf
CELL_PARAMETERS angstrom
7.091 0.000 0.000
3.545 6.141 0.000
3.545 2.047 5.197
ATOMIC_POSITIONS crystal
Na 0.002 0.002 0.994
Er 0.378 0.378 0.867
Pa 0.595 0.595 0.214
Pa 0.997 0.498 0.508
Pa 0.498 0.997 0.508
Pa 0.997 0.997 0.508
N 0.274 0.774 0.678
N 0.774 0.274 0.678
N 0.274 0.274 0.678
N 0.234 0.234 0.299
N 0.752 0.222 0.273
N 0.222 0.752 0.273
N 0.752 0.752 0.273
N 0.750 0.750 0.749
! energy relative to the elements, uncorrected = -1.42 eV/atom
! SG = R3m (160)
! density of states at the Fermi level = 0.0 states/eV/cell

=====

3.
! Na2ErReN4 GGA-PBE optimized geometry; values from VASP
&SYSTEM
  ibrav = 0, nat = 16, ntyp = 4
/
ATOMIC_SPECIES
Na 22.99 Na.upf
Er 167.26 Er.upf
Re 186.21 Re.upf
N 14.01 N.upf
CELL_PARAMETERS angstrom
6.751 1.311 0.694
1.326 6.754 0.679
-3.526 -3.511 5.015
ATOMIC_POSITIONS crystal
Na 0.397 0.897 0.897
Na 0.397 0.897 0.397
Na 0.893 0.012 0.453
Na 0.512 0.393 0.952
Er 0.011 0.511 0.011
Er 0.011 0.511 0.511
Re 0.455 0.417 0.436
Re 0.917 0.955 0.936
N 0.182 0.735 0.958
N 0.776 0.413 0.595
N 0.235 0.682 0.459
N 0.913 0.276 0.094
N 0.786 0.865 0.037
N 0.786 0.865 0.614
N 0.365 0.286 0.536
N 0.365 0.286 0.114
! energy relative to the elements, uncorrected = -0.59 eV/atom
! SG = Ima2 (46)
! density of states at the Fermi level = 0.0 states/eV/cell